(1)
Here is a relaxed TaTc2Se crystal from Alexandria. Energies are from PBE.

The density of states at the Fermi level is 5.6 states/eV/f.u. The calculated density is 11.86 Mg/m³. The space group is F-43m (216). The energy relative to the elements, uncorrected is 0.356 eV per atom. Its raw total energy is -8.6616 eV/atom. The calculation puts the total magnetic moment at 0.00 μB/f.u.

POSCAR file:
```
TaTc2Se
1.0
0.000 3.172 3.172
3.172 0.000 3.172
3.172 3.172 0.000
Ta Tc Se
1 2 1
direct
0.000 0.000 0.000
0.500 0.500 0.500
0.750 0.750 0.750
0.250 0.250 0.250
```

=====

(2)
Here is a relaxed ZrZnCdCo crystal from Alexandria. Energies are from PBE.

The density of states at the Fermi level is 3.2 states/eV/f.u. Its calculated formation energy is -71 meV per atom. The calculated density is 8.13 Mg/m³. The space group is F-43m (216). Its raw total energy is -4.5321 eV/atom. The calculation puts the total magnetic moment at 1.10 μB/f.u.

POSCAR file:
```
ZrZnCdCo
1.0
0.000 3.223 3.223
3.223 0.000 3.223
3.223 3.223 0.000
Zr Zn Cd Co
1 1 1 1
direct
0.000 0.000 0.000
0.250 0.250 0.250
0.500 0.500 0.500
0.750 0.750 0.750
```